Computed, not measured: a relaxed Rb2DyV2O6 crystal at the GGA+U level of DFT.

Cell: 6.1738 6.1738 18.3952 Å, 90.00 90.00 120.00°
Space group R-3m (No. 166, hexagonal axes)
Inequivalent atoms, fractional coordinates:
Rb 0.0000 0.0000 0.2129
Dy 0.0000 0.0000 0.0000
V 0.0000 0.0000 0.4185
O 0.0060 0.5030 0.2581

Values from the calculation:
Energy   -6.819 eV per atom
Density   4.36 g cm⁻³